This record from Alexandria via LeMat-Bulk describes a relaxed UMnCd2O6 crystal. The functional is PBE with a Hubbard U.

Structure (POSCAR):
```
UMnCd2O6
1.0
-2.339 5.048 0.698
-5.159 -2.210 -1.304
-1.286 -1.716 7.992
U Mn Cd O
2 2 4 12
Direct
0.500 0.000 0.500
0.000 0.500 0.000
0.500 0.000 0.000
0.000 0.500 0.500
0.006 0.955 0.252
0.506 0.545 0.752
0.994 0.045 0.748
0.494 0.455 0.248
0.309 0.684 0.058
0.809 0.816 0.558
0.691 0.316 0.942
0.191 0.184 0.442
0.324 0.696 0.433
0.824 0.804 0.933
0.676 0.304 0.567
0.176 0.196 0.067
0.886 0.566 0.245
0.386 0.934 0.745
0.114 0.434 0.755
0.614 0.066 0.255
```

Results
**Total magnetization**: 0.500 μB per atom
**Space-group type**: P2_1/c, No. 14
**Raw total energy**: -7.03 eV per atom